1.
Here is a relaxed Sc2Si2As crystal from Alexandria. Energies are from PBE.

Unit cell a=7.106 b=7.106 c=3.901 alpha=90.00 beta=90.00 gamma=90.00
Space group P4/mbm (No. 127)
Symmetry-distinct sites (fractional):
Sc1 0.180 0.320 0.000 [4 per cell]
Si1 0.115 0.615 0.500 [4 per cell]
As1 0.000 0.000 0.000 [2 per cell]

---

2.
Here is a relaxed VMoRuRh crystal from Alexandria. Energies are from PBE.

Calculated values
Energy of formation = 0.068 eV/atom

Unit cell a=6.145 b=6.145 c=6.145 alpha=90.00 beta=90.00 gamma=90.00
Space group F-43m (No. 216)
Symmetry-distinct sites (fractional):
V1 0.000 0.000 0.000 [4 per cell]
Mo1 0.250 0.250 0.250 [4 per cell]
Ru1 0.000 0.000 0.500 [4 per cell]
Rh1 0.250 0.250 0.750 [4 per cell]

---

3.
Here is a relaxed BeZn2Ir crystal from Alexandria. Energies are from PBE.

Calculated values
Energy of formation = -0.160 eV/atom

Unit cell a=3.560 b=3.661 c=3.913 alpha=90.00 beta=90.00 gamma=90.00
Space group Pmmm (No. 47)
Symmetry-distinct sites (fractional):
Be1 0.000 0.000 0.000 [1 per cell]
Zn1 0.000 0.500 0.500 [1 per cell]
Zn2 0.500 0.000 0.500 [1 per cell]
Ir1 0.500 0.500 0.000 [1 per cell]

---

4.
Here is a relaxed ZnPd4Pt3 crystal from Alexandria. Energies are from PBE.

Calculated values
Energy of formation = -0.172 eV/atom

Unit cell a=8.751 b=3.968 c=7.920 alpha=90.00 beta=117.33 gamma=90.00
Space group C2/m (No. 12)
Symmetry-distinct sites (fractional):
Zn1 0.000 0.000 0.000 [2 per cell]
Pd1 0.247 0.000 0.370 [4 per cell]
Pd2 0.248 0.500 0.122 [4 per cell]
Pt1 0.000 0.000 0.500 [2 per cell]
Pt2 0.000 0.500 0.249 [4 per cell]

---

5.
Here is a relaxed NaCd5Ga2 crystal from Alexandria. Energies are from PBE.

Calculated values
Energy of formation = -0.026 eV/atom

Unit cell a=4.154 b=8.311 c=10.928 alpha=90.00 beta=90.00 gamma=90.00
Space group Immm (No. 71)
Symmetry-distinct sites (fractional):
Na1 0.000 0.000 0.000 [2 per cell]
Cd1 0.000 0.199 0.360 [8 per cell]
Cd2 0.000 0.500 0.000 [2 per cell]
Ga1 0.000 0.500 0.261 [4 per cell]

---

6.
Here is a relaxed Sc3RuRh crystal from Alexandria. Energies are from PBE.

Calculated values
Energy of formation = 0.058 eV/atom

Unit cell a=4.857 b=4.857 c=4.857 alpha=90.00 beta=90.00 gamma=90.00
Space group Pm-3m (No. 221)
Symmetry-distinct sites (fractional):
Sc1 0.000 0.000 0.500 [3 per cell]
Ru1 0.000 0.000 0.000 [1 per cell]
Rh1 0.500 0.500 0.500 [1 per cell]

---

The records above yield N(E_F) values of 4.8, 30.6, 1.9, 29.4, 5.7, 3.1 states/eV per cell, respectively.
The records above yield E values of -6.213, -9.076, -3.944, -5.193, -1.520, -7.066 eV/atom, respectively.